(1)
A plane-wave DFT calculation with PBE-GGA was carried out for a relaxed Ca2ScW crystal.

POSCAR file:
```
Ca2ScW
1.0
-2.931 -0.720 -4.506
0.301 -5.372 -0.689
-1.498 2.645 4.492
Sc W Ca
1 1 2
direct
0.500 0.500 0.000
0.750 0.250 0.500
0.250 0.750 0.500
0.000 0.000 0.000
```

Electronic total energy, eV for the cell shown: -20.25
DFT formation energy, eV/atom: 0.760
Magnetization, μB/atom: 0.00
SG: I-4m2 (119)


(2)
A plane-wave DFT calculation with PBE-GGA was carried out for a relaxed CaSc2W crystal.

POSCAR file:
```
CaSc2W
1.0
-2.435 -2.468 5.725
6.166 -0.047 2.602
0.932 5.060 6.491
Ca Sc W
2 4 2
direct
0.500 0.500 0.000
0.250 0.750 0.500
0.875 0.125 0.250
0.375 0.125 0.750
0.875 0.625 0.250
0.875 0.125 0.750
0.750 0.250 0.500
0.000 0.000 0.000
```

Electronic total energy, eV for the cell shown: -44.40
DFT formation energy, eV/atom: 1.354
Magnetization, μB/atom: 0.00
SG: I4_1/amd (141)


(3)
A plane-wave DFT calculation with PBE-GGA was carried out for a relaxed Ca2ScW crystal.

POSCAR file:
```
Ca2ScW
1.0
3.938 0.000 0.000
0.000 3.938 0.000
0.000 0.000 6.755
Sc Ca W
1 2 1
direct
0.500 0.500 0.250
0.000 0.000 0.977
0.000 0.000 0.523
0.500 0.500 0.750
```

Electronic total energy, eV for the cell shown: -19.42
DFT formation energy, eV/atom: 0.967
Magnetization, μB/atom: 0.30
SG: P4/mmm (123)


(4)
A plane-wave DFT calculation with PBE-GGA was carried out for a relaxed CaSc2W crystal.

POSCAR file:
```
CaSc2W
1.0
-3.058 2.410 -3.508
-1.250 -3.929 -3.236
-0.496 0.086 5.217
Ca W Sc
1 1 2
direct
0.250 0.750 0.500
0.750 0.250 0.500
0.500 0.500 0.000
0.000 0.000 0.000
```

Electronic total energy, eV for the cell shown: -25.61
DFT formation energy, eV/atom: 0.503
Magnetization, μB/atom: 0.00
SG: I4/mmm (139)


(5)
A plane-wave DFT calculation with PBE-GGA was carried out for a relaxed Ca2ScW crystal.

POSCAR file:
```
Ca2ScW
1.0
-0.889 2.150 5.537
-4.626 -2.559 -2.850
0.783 -2.739 1.189
W Ca Sc
1 2 1
direct
0.000 0.500 0.500
0.500 0.500 0.000
0.000 0.000 0.000
0.500 0.000 0.500
```

Electronic total energy, eV for the cell shown: -20.03
DFT formation energy, eV/atom: 0.813
Magnetization, μB/atom: 0.00
SG: Cmmm (65)


(6)
A plane-wave DFT calculation with PBE-GGA was carried out for a relaxed CaScW2 crystal.

POSCAR file:
```
CaScW2
1.0
-4.554 1.974 -0.136
-1.282 -3.103 -2.096
-0.918 -1.887 3.355
Ca W Sc
1 2 1
direct
0.500 0.500 0.000
0.000 0.500 0.500
0.000 0.000 0.000
0.500 0.000 0.500
```

Electronic total energy, eV for the cell shown: -31.34
DFT formation energy, eV/atom: 0.725
Magnetization, μB/atom: 0.00
SG: P4/mmm (123)


Look up the electronic total energy of the fourth one.
-25.61 eV for the cell shown


The highest magnetization belongs to which entry?
number 3


Which of these has the lowest electronic total energy?
number 2